No. 1
# La2P4Pd | Alexandria via LeMat-Bulk | PBE | relaxed
data_La2P4Pd
_space_group_name_H-M_alt 'I 4/m m m'
_space_group_IT_number 139
_space_group_name_Hall '-I 4 2'
_cell_length_a 4.6903
_cell_length_b 4.6903
_cell_length_c 14.5880
_cell_angle_alpha 90.00
_cell_angle_beta 90.00
_cell_angle_gamma 90.00
loop_
_atom_site_label
_atom_site_fract_x
_atom_site_fract_y
_atom_site_fract_z
La1 0.0000 0.0000 0.1361
P1 0.0000 0.0000 0.3340
P2 0.0000 0.5000 0.0000
Pd1 0.0000 0.0000 0.5000
# V ... 160 Å³/f.u.
# ΔH_f (0 K) ... -0.665 eV/atom
# Spin magnetization ... 0.0 μB per formula unit


No. 2
# La3CdIr | Alexandria via LeMat-Bulk | PBE | relaxed
data_La3CdIr
_space_group_name_H-M_alt 'P n m a'
_space_group_IT_number 62
_cell_length_a 7.7985
_cell_length_b 9.5067
_cell_length_c 8.5576
_cell_angle_alpha 90.00
_cell_angle_beta 90.00
_cell_angle_gamma 90.00
loop_
_space_group_symop_operation_xyz
'x,y,z'
'-x,-y,-z'
'-x+1/2,-y,z+1/2'
'x+1/2,y,-z+1/2'
'x+1/2,-y+1/2,-z+1/2'
'-x+1/2,y+1/2,z+1/2'
'-x,y+1/2,-z'
'x,-y+1/2,z'
loop_
_atom_site_label
_atom_site_fract_x
_atom_site_fract_y
_atom_site_fract_z
La1 0.1289 0.0671 0.1539
La2 0.1497 0.2500 0.7388
Cd1 0.0000 0.0000 0.5000
Ir1 0.1049 0.7500 0.0029
# V ... 159 Å³/f.u.
# ΔH_f (0 K) ... -0.280 eV/atom
# Spin magnetization ... 0.0 μB per formula unit


No. 3
# Dy11Zn4Hg9 | Alexandria via LeMat-Bulk | PBE | relaxed
data_Dy11Zn4Hg9
_space_group_name_H-M_alt 'C m m m'
_space_group_IT_number 65
_space_group_name_Hall '-C 2 2'
_cell_length_a 14.4725
_cell_length_b 21.6665
_cell_length_c 3.7388
_cell_angle_alpha 90.00
_cell_angle_beta 90.00
_cell_angle_gamma 90.00
loop_
_atom_site_label
_atom_site_fract_x
_atom_site_fract_y
_atom_site_fract_z
Dy1 0.0000 0.0000 0.0000
Dy2 0.0000 0.1685 0.0000
Dy3 0.0000 0.3620 0.0000
Dy4 0.2173 0.5000 0.0000
Dy5 0.2448 0.1692 0.0000
Zn1 0.1440 0.4059 0.5000
Hg1 0.0000 0.5000 0.5000
Hg2 0.1101 0.2623 0.5000
Hg3 0.1360 0.0763 0.5000
# V ... 586 Å³/f.u.
# ΔH_f (0 K) ... -0.411 eV/atom
# Spin magnetization ... 0.0 μB per formula unit


No. 4
# AcPrCd | Alexandria via LeMat-Bulk | PBE | relaxed
data_AcPrCd
_space_group_name_H-M_alt 'C m c m'
_space_group_IT_number 63
_space_group_name_Hall '-C 2c 2'
_cell_length_a 5.7588
_cell_length_b 9.9227
_cell_length_c 7.2726
_cell_angle_alpha 90.00
_cell_angle_beta 90.00
_cell_angle_gamma 90.00
loop_
_atom_site_label
_atom_site_fract_x
_atom_site_fract_y
_atom_site_fract_z
Ac1 0.0000 0.1659 0.2500
Pr1 0.0000 0.5000 0.0000
Cd1 0.0000 0.1681 0.7500
# V ... 104 Å³/f.u.
# ΔH_f (0 K) ... -0.125 eV/atom
# Spin magnetization ... 0.0 μB per formula unit


No. 5
# SmThTe6 | Alexandria via LeMat-Bulk | PBE | relaxed
data_SmThTe6
_space_group_name_H-M_alt 'A m m 2'
_space_group_IT_number 38
_cell_length_a 4.4471
_cell_length_b 4.4455
_cell_length_c 26.7159
_cell_angle_alpha 90.00
_cell_angle_beta 90.00
_cell_angle_gamma 90.00
loop_
_space_group_symop_operation_xyz
'x,y,z'
'-x,-y,z'
'-x,y,z'
'x,-y,z'
'x,y+1/2,z+1/2'
'-x,-y+1/2,z+1/2'
'-x,y+1/2,z+1/2'
'x,-y+1/2,z+1/2'
loop_
_atom_site_label
_atom_site_fract_x
_atom_site_fract_y
_atom_site_fract_z
Sm1 0.0000 0.0000 0.0000
Th1 0.5000 0.0000 0.3391
Te1 0.0000 0.0000 0.2484
Te2 0.0000 0.0000 0.5903
Te3 0.0000 0.0000 0.8757
Te4 0.5000 0.0000 0.0903
Te5 0.5000 0.0000 0.4612
Te6 0.5000 0.0000 0.7484
# V ... 264 Å³/f.u.
# Spin magnetization ... 0.0 μB per formula unit
# Raw total energy ... -4.85 eV per atom


No. 6
# PmSmNp | Alexandria via LeMat-Bulk | PBE | relaxed
data_PmSmNp
_space_group_name_H-M_alt 'C 1 2/m 1'
_space_group_IT_number 12
_cell_length_a 17.0473
_cell_length_b 3.5710
_cell_length_c 6.0384
_cell_angle_alpha 90.00
_cell_angle_beta 101.92
_cell_angle_gamma 90.00
loop_
_space_group_symop_operation_xyz
'x,y,z'
'-x,-y,-z'
'-x,y,-z'
'x,-y,z'
'x+1/2,y+1/2,z'
'-x+1/2,-y+1/2,-z'
'-x+1/2,y+1/2,-z'
'x+1/2,-y+1/2,z'
loop_
_atom_site_label
_atom_site_fract_x
_atom_site_fract_y
_atom_site_fract_z
Pm1 0.1288 0.0000 0.3273
Sm1 0.0666 0.5000 0.7947
Np1 0.2367 0.0000 0.8663
# V ... 90 Å³/f.u.
# ΔH_f (0 K) ... 0.249 eV/atom
# Spin magnetization ... 1.5 μB per formula unit


No. 7
# Pm2DyTl3 | Alexandria via LeMat-Bulk | PBE | relaxed
data_Pm2DyTl3
_space_group_name_H-M_alt 'C m c m'
_space_group_IT_number 63
_space_group_name_Hall '-C 2c 2'
_cell_length_a 3.7420
_cell_length_b 29.0913
_cell_length_c 6.7582
_cell_angle_alpha 90.00
_cell_angle_beta 90.00
_cell_angle_gamma 90.00
loop_
_atom_site_label
_atom_site_fract_x
_atom_site_fract_y
_atom_site_fract_z
Pm1 0.0000 0.0055 0.2500
Pm2 0.0000 0.1533 0.7500
Dy1 0.0000 0.3319 0.7500
Tl1 0.0000 0.2546 0.2500
Tl2 0.0000 0.4225 0.0093
# V ... 184 Å³/f.u.
# ΔH_f (0 K) ... -0.238 eV/atom
# Spin magnetization ... 0.0 μB per formula unit


No. 8
# PrZn6Cd2 | Alexandria via LeMat-Bulk | PBE | relaxed
data_PrZn6Cd2
_space_group_name_H-M_alt 'I m m m'
_space_group_IT_number 71
_space_group_name_Hall '-I 2 2'
_cell_length_a 4.3243
_cell_length_b 6.7386
_cell_length_c 12.3554
_cell_angle_alpha 90.00
_cell_angle_beta 90.00
_cell_angle_gamma 90.00
loop_
_atom_site_label
_atom_site_fract_x
_atom_site_fract_y
_atom_site_fract_z
Pr1 0.0000 0.0000 0.0000
Zn1 0.0000 0.1847 0.5000
Zn2 0.0000 0.2958 0.3096
Cd1 0.0000 0.5000 0.1205
# V ... 180 Å³/f.u.
# ΔH_f (0 K) ... -0.094 eV/atom
# Spin magnetization ... 0.0 μB per formula unit


- Number 6 is which compound?
  PmSmNp


- Look up the spin magnetization of the eighth one.
  0.0 μB per formula unit


- Among the records above, which one has the lowest V?
  PmSmNp


- Which of these has the highest V?
  Dy11Zn4Hg9